A plane-wave DFT calculation with GGA-PBE was carried out for LaBeS2N after structural relaxation.

Structure (POSCAR):
```
LaBeS2N
1.0
-0.096 1.912 5.239
-5.255 1.726 -0.726
-1.439 -3.808 1.364
S Be La N
2 1 1 1
Cartesian
-0.048 0.956 2.620
-2.627 0.863 -0.363
-3.395 -0.085 2.938
0.000 0.000 0.000
-0.720 -1.904 0.682
```

## Properties
- Space group: P4/mmm (123)
- Formation energy from raw total energies: 0.7865 eV/atom
- Energy above the lowest structure with this stoichiometry: 1439 meV per atom